Run A
# LiMn2I PBE-GGA relaxed
data_LiMn2I
_chemical_formula_sum 'Li4 Mn8 I4'
_symmetry_space_group_name_H-M 'F m -3 m'
_symmetry_Int_Tables_number 225
_symmetry_space_group_name_Hall '-F 4 2 3'
_cell_length_a 5.949
_cell_length_b 5.949
_cell_length_c 5.949
_cell_angle_alpha 90.00
_cell_angle_beta 90.00
_cell_angle_gamma 90.00
loop_
_atom_site_label
_atom_site_type_symbol
_atom_site_fract_x
_atom_site_fract_y
_atom_site_fract_z
Li1 Li 0.000 0.000 0.000
Mn1 Mn 0.250 0.250 0.250
I1 I 0.000 0.000 0.500
# **DOS at the Fermi energy**: 18.634 states/eV per cell



Run B
# LiMn2I PBE-GGA relaxed
data_LiMn2I
_chemical_formula_sum 'Li4 Mn8 I4'
_symmetry_space_group_name_H-M 'I -4 2 d'
_symmetry_Int_Tables_number 122
_symmetry_space_group_name_Hall 'I -4 2bw'
_cell_length_a 3.865
_cell_length_b 3.865
_cell_length_c 23.184
_cell_angle_alpha 90.00
_cell_angle_beta 90.00
_cell_angle_gamma 90.00
loop_
_atom_site_label
_atom_site_type_symbol
_atom_site_fract_x
_atom_site_fract_y
_atom_site_fract_z
Li1 Li 0.000 0.000 0.000
Mn1 Mn 0.248 0.250 0.625
I1 I 0.000 0.000 0.500
# **DOS at the Fermi energy**: 12.117 states/eV per cell



From most stable to least stable, the computed energies give run B, run A.



Run A
# Li2MnI4 PBE-GGA relaxed
data_Li2MnI4
_chemical_formula_sum 'Li4 Mn2 I8'
_symmetry_space_group_name_H-M 'I -4 2 m'
_symmetry_Int_Tables_number 121
_symmetry_space_group_name_Hall 'I -4 2'
_cell_length_a 6.734
_cell_length_b 6.734
_cell_length_c 12.887
_cell_angle_alpha 90.00
_cell_angle_beta 90.00
_cell_angle_gamma 90.00
loop_
_atom_site_label
_atom_site_type_symbol
_atom_site_fract_x
_atom_site_fract_y
_atom_site_fract_z
Li1 Li 0.000 0.500 0.000
Mn1 Mn 0.000 0.000 0.000
I1 I 0.236 0.236 0.115
# **DOS at the Fermi energy**: 0.000 states/eV per cell



Run B
VASP calculation (PBE-GGA) on Li2MnI4 after structural relaxation.

Geometry as CIF:
```
data_Li2MnI4
_chemical_formula_sum 'Li4 Mn2 I8'
_symmetry_space_group_name_H-M 'I 4/m m m'
_symmetry_Int_Tables_number 139
_symmetry_space_group_name_Hall '-I 4 2'
_cell_length_a 5.849
_cell_length_b 5.849
_cell_length_c 14.399
_cell_angle_alpha 90.00
_cell_angle_beta 90.00
_cell_angle_gamma 90.00
loop_
_atom_site_label
_atom_site_type_symbol
_atom_site_fract_x
_atom_site_fract_y
_atom_site_fract_z
Li1 Li 0.000 0.000 0.123
Mn1 Mn 0.000 0.000 0.500
I1 I 0.000 0.000 0.307
I2 I 0.000 0.500 0.000
```



From most stable to least stable, the computed energies give run A, run B.